Entry 1:
Material: Cs2InBi2
Method: DFT, GGA-PBE
State: relaxed

Cell and atoms, written as CIF:
```
data_Cs2InBi2
_chemical_formula_sum 'Cs4 In2 Bi4'
_cell_length_a 7.580
_cell_length_b 9.118
_cell_length_c 13.640
_cell_angle_alpha 132.50
_cell_angle_beta 90.00
_cell_angle_gamma 114.56
_symmetry_space_group_name_H-M 'P 1'
_symmetry_Int_Tables_number 1
_symmetry_space_group_name_Hall 'P 1'
loop_
_atom_site_label
_atom_site_type_symbol
_atom_site_fract_x
_atom_site_fract_y
_atom_site_fract_z
Cs1 Cs 0.710 0.421 0.573
Cs2 Cs 0.290 0.579 0.427
Cs3 Cs 0.123 0.246 0.872
Cs4 Cs 0.877 0.754 0.128
In1 In 0.346 0.693 0.844
In2 In 0.654 0.307 0.156
Bi1 Bi 0.115 0.230 0.541
Bi2 Bi 0.885 0.770 0.459
Bi3 Bi 0.470 0.940 0.145
Bi4 Bi 0.530 0.060 0.855
```

Space group: No. 12
Polymorph energy (0 for the lowest one): 42 meV/atom

Entry 2:
Material: AcTc3O12
Method: DFT, GGA-PBE
State: relaxed

Cell and atoms, written as CIF:
```
data_AcTc3O12
_chemical_formula_sum 'Ac2 Tc6 O24'
_cell_length_a 9.143
_cell_length_b 9.143
_cell_length_c 10.934
_cell_angle_alpha 65.28
_cell_angle_beta 65.28
_cell_angle_gamma 60.00
_symmetry_space_group_name_H-M 'P 1'
_symmetry_Int_Tables_number 1
_symmetry_space_group_name_Hall 'P 1'
loop_
_atom_site_label
_atom_site_type_symbol
_atom_site_fract_x
_atom_site_fract_y
_atom_site_fract_z
Ac1 Ac 0.060 0.060 0.820
Ac2 Ac 0.560 0.560 0.320
Tc1 Tc 0.684 0.339 0.002
Tc2 Tc 0.184 0.475 0.502
Tc3 Tc 0.839 0.184 0.502
Tc4 Tc 0.339 0.975 0.002
Tc5 Tc 0.975 0.684 0.002
Tc6 Tc 0.475 0.839 0.502
O1 O 0.113 0.097 0.032
O2 O 0.182 0.285 0.640
O3 O 0.946 0.981 0.473
O4 O 0.841 0.389 0.850
O5 O 0.341 0.420 0.350
O6 O 0.446 0.099 0.973
O7 O 0.682 0.393 0.140
O8 O 0.981 0.599 0.473
O9 O 0.613 0.259 0.532
O10 O 0.893 0.182 0.640
O11 O 0.889 0.341 0.350
O12 O 0.259 0.597 0.532
O13 O 0.099 0.481 0.973
O14 O 0.759 0.113 0.032
O15 O 0.389 0.920 0.850
O16 O 0.393 0.785 0.140
O17 O 0.785 0.682 0.140
O18 O 0.481 0.446 0.973
O19 O 0.597 0.613 0.532
O20 O 0.920 0.841 0.850
O21 O 0.420 0.889 0.350
O22 O 0.097 0.759 0.032
O23 O 0.285 0.893 0.640
O24 O 0.599 0.946 0.473
```

Space group: No. 161
Energy relative to the elements, uncorrected: -40.0 kcal/mol of atoms

Entry 3:
Material: CuAsPb
Method: DFT, GGA-PBE
State: relaxed

Cell and atoms, written as CIF:
```
data_CuAsPb
_chemical_formula_sum 'Cu1 As1 Pb1'
_cell_length_a 4.162
_cell_length_b 4.162
_cell_length_c 4.441
_cell_angle_alpha 90.00
_cell_angle_beta 90.00
_cell_angle_gamma 120.00
_symmetry_space_group_name_H-M 'P 1'
_symmetry_Int_Tables_number 1
_symmetry_space_group_name_Hall 'P 1'
loop_
_atom_site_label
_atom_site_type_symbol
_atom_site_fract_x
_atom_site_fract_y
_atom_site_fract_z
Pb1 Pb 0.333 0.667 0.666
As1 As 0.000 0.000 0.167
Cu1 Cu 0.667 0.333 0.167
```

Space group: No. 156
Polymorph energy (0 for the lowest one): 0 meV/atom

Entry 4:
Material: PmLuPdPb
Method: DFT, GGA-PBE
State: relaxed

Cell and atoms, written as CIF:
```
data_PmLuPdPb
_chemical_formula_sum 'Pm1 Lu1 Pd1 Pb1'
_cell_length_a 5.232
_cell_length_b 5.232
_cell_length_c 5.232
_cell_angle_alpha 60.00
_cell_angle_beta 60.00
_cell_angle_gamma 60.00
_symmetry_space_group_name_H-M 'P 1'
_symmetry_Int_Tables_number 1
_symmetry_space_group_name_Hall 'P 1'
loop_
_atom_site_label
_atom_site_type_symbol
_atom_site_fract_x
_atom_site_fract_y
_atom_site_fract_z
Pb1 Pb 0.500 0.500 0.500
Lu1 Lu 0.750 0.750 0.750
Pd1 Pd 0.000 0.000 0.000
Pm1 Pm 0.250 0.250 0.250
```

Space group: No. 216
VASP energy: -5.13 eV per atom

no.,M_tot (μB/cell)
1,0.0
2,0.0
3,0.0
4,0.0